# RbNiTe2Au, optimized geometry, DFT PBE
data_RbNiTe2Au
_chemical_formula_sum 'Rb4 Ni4 Te8 Au4'
_cell_length_a 6.334
_cell_length_b 12.570
_cell_length_c 7.999
_cell_angle_alpha 90.00
_cell_angle_beta 90.00
_cell_angle_gamma 90.00
_symmetry_space_group_name_H-M 'C m m e'
_symmetry_Int_Tables_number 67
_symmetry_space_group_name_Hall '-C 2a 2'
loop_
_atom_site_label
_atom_site_type_symbol
_atom_site_fract_x
_atom_site_fract_y
_atom_site_fract_z
_atom_site_occupancy
Rb1 Rb 0.000 0.250 0.233 1
Ni1 Ni 0.250 0.000 0.000 1
Te1 Te 0.000 0.088 0.801 1
Au1 Au 0.000 0.000 0.500 1
# Total moment, μB per cell: 0.00
# Calculated density, kg/m³: 6219
# E, eV per atom: -3.6558
# Volume, A^3/atom: 31.8